Entry from the Alexandria database: a relaxed structure of CaNd4Ho3S8 (PBE-GGA).

a b c (Å): 7.9322 7.9322 19.8275
angles (deg): 90.00 90.00 120.00
Space group R-3m (No. 166, hexagonal axes)
Unique sites:
Ca 0.0000 0.0000 0.0000 (multiplicity 3)
Nd 0.0000 0.0000 0.5000 (multiplicity 3)
Nd 0.0000 0.5000 0.5000 (multiplicity 9)
Ho 0.0000 0.5000 0.0000 (multiplicity 9)
S 0.0000 0.0000 0.2560 (multiplicity 6)
S 0.0026 0.5013 0.2554 (multiplicity 18)

Density: 6.3 g/cm3
E_form (uncorrected): -32.23 eV per formula unit